A:
The following is a PBE+U calculation of an optimized crystal structure of TiCrOF2, from the Alexandria database.

Output
Spin magnetization: 6.00 μB per formula unit
Space group: P4/mmm (123)
V: 13.1 A^3/atom

a = 4.1193 Å, b = 4.1193 Å, c = 3.8482 Å
α = 90.00°, β = 90.00°, γ = 90.00°
With the nearest neighbours (Å) after each atom.
Positions (direct):
1 F 0.0000 0.5000 0.0000  2 Ti 2.06
2 F 0.5000 0.0000 0.0000  2 Ti 2.06
3 O 0.0000 0.0000 0.5000  2 Ti 1.92
4 Ti 0.0000 0.0000 0.0000  2 O 1.92, 4 F 2.06
5 Cr 0.5000 0.5000 0.5000  8 F 2.82, 4 O 2.91

---

B:
The following is a PBE+U calculation of an optimized crystal structure of TiCrOF2, from the Alexandria database.

Output
Spin magnetization: 6.00 μB per formula unit
Space group: P4/mmm (123)
V: 13.1 A^3/atom

a = 4.0424 Å, b = 4.0424 Å, c = 3.9950 Å
α = 90.00°, β = 90.00°, γ = 90.00°
With the nearest neighbours (Å) after each atom.
Positions (direct):
1 O 0.0000 0.0000 0.5000  2 Cr 2.00
2 Ti 0.5000 0.5000 0.5000  8 F 2.84, 4 O 2.86
3 Cr 0.0000 0.0000 0.0000  2 O 2.00, 4 F 2.02
4 F 0.0000 0.5000 0.0000  2 Cr 2.02
5 F 0.5000 0.0000 0.0000  2 Cr 2.02

---

Stability ranking, top and bottom: A is the most stable and B is the least stable.

---

A:
The following is a PBE+U calculation of an optimized crystal structure of TlCrOF2, from the Alexandria database.

Output
Spin magnetization: 3.00 μB per formula unit
Space group: P4/mmm (123)
V: 13.8 A^3/atom

a = 4.1782 Å, b = 4.1782 Å, c = 3.9531 Å
α = 90.00°, β = 90.00°, γ = 90.00°
With the nearest neighbours (Å) after each atom.
Positions (direct):
1 Tl 0.5000 0.5000 0.5000  8 F 2.88, 4 O 2.95
2 Cr 0.0000 0.0000 0.0000  2 O 1.98, 4 F 2.09
3 O 0.0000 0.0000 0.5000  2 Cr 1.98
4 F 0.5000 0.0000 0.0000  2 Cr 2.09
5 F 0.0000 0.5000 0.0000  2 Cr 2.09

---

B:
The following is a PBE+U calculation of an optimized crystal structure of TlCrOF2, from the Alexandria database.

Output
Spin magnetization: 4.86 μB per formula unit
Space group: P4/mmm (123)
V: 17.4 A^3/atom

a = 4.5535 Å, b = 4.5535 Å, c = 4.1839 Å
α = 90.00°, β = 90.00°, γ = 90.00°
With the nearest neighbours (Å) after each atom.
Positions (direct):
1 Tl 0.0000 0.0000 0.0000  2 O 2.09, 4 F 2.28
2 O 0.0000 0.0000 0.5000  2 Tl 2.09
3 Cr 0.5000 0.5000 0.5000  8 F 3.09, 4 O 3.22
4 F 0.0000 0.5000 0.0000  2 Tl 2.28
5 F 0.5000 0.0000 0.0000  2 Tl 2.28

---

Stability ranking, top and bottom: A is the most stable and B is the least stable.

---

A:
The following is a PBE+U calculation of an optimized crystal structure of VCrOF2, from the Alexandria database.

Output
Spin magnetization: 7.00 μB per formula unit
Space group: P4/mmm (123)
V: 12.9 A^3/atom

a = 4.1036 Å, b = 4.1036 Å, c = 3.8268 Å
α = 90.00°, β = 90.00°, γ = 90.00°
With the nearest neighbours (Å) after each atom.
Positions (direct):
1 V 0.0000 0.0000 0.0000  2 O 1.91, 4 F 2.05
2 F 0.5000 0.0000 0.0000  2 V 2.05
3 F 0.0000 0.5000 0.0000  2 V 2.05
4 Cr 0.5000 0.5000 0.5000  8 F 2.81, 4 O 2.90
5 O 0.0000 0.0000 0.5000  2 V 1.91

---

B:
The following is a PBE+U calculation of an optimized crystal structure of VCrOF2, from the Alexandria database.

Output
Spin magnetization: 7.00 μB per formula unit
Space group: P4/mmm (123)
V: 12.7 A^3/atom

a = 3.9864 Å, b = 3.9864 Å, c = 4.0011 Å
α = 90.00°, β = 90.00°, γ = 90.00°
With the nearest neighbours (Å) after each atom.
Positions (direct):
1 F 0.5000 0.0000 0.0000  2 Cr 1.99
2 F 0.0000 0.5000 0.0000  2 Cr 1.99
3 O 0.0000 0.0000 0.5000  2 Cr 2.00
4 V 0.5000 0.5000 0.5000  4 O 2.82, 8 F 2.82
5 Cr 0.0000 0.0000 0.0000  4 F 1.99, 2 O 2.00

---

Stability ranking, top and bottom: A is the most stable and B is the least stable.